Compound: Li2PrErTl4
Source: the Alexandria database
Functional: PBE
Structure: relaxed

Calculated values
Total energy = -3.15 eV per atom
M_tot = 0.00 μB/atom

a b c (Å): 5.2325 5.2325 25.7378
angles (deg): 90.00 90.00 120.00
Space group R-3m (No. 166, hexagonal axes)
Inequivalent atoms, fractional coordinates:
Li 0.0000 0.0000 0.2488 x6
Pr 0.0000 0.0000 0.0000 x3
Er 0.0000 0.0000 0.5000 x3
Tl 0.0000 0.0000 0.1275 x6
Tl 0.0000 0.0000 0.3783 x6